1.
## Nd2TlH (PBE)

Data for a relaxed Nd2TlH crystal.

CIF file:
```
data_Nd2TlH
_chemical_formula_sum 'Nd8 Tl4 H4'
_symmetry_space_group_name_H-M 'P n m a'
_symmetry_Int_Tables_number 62
_cell_length_a 7.326
_cell_length_b 4.953
_cell_length_c 10.484
_cell_angle_alpha 90.00
_cell_angle_beta 90.00
_cell_angle_gamma 90.00
loop_
_symmetry_equiv_pos_as_xyz
'x,y,z'
'-x,-y,-z'
'-x+1/2,-y,z+1/2'
'x+1/2,y,-z+1/2'
'x+1/2,-y+1/2,-z+1/2'
'-x+1/2,y+1/2,z+1/2'
'-x,y+1/2,-z'
'x,-y+1/2,z'
loop_
_atom_site_label
_atom_site_type_symbol
_atom_site_fract_x
_atom_site_fract_y
_atom_site_fract_z
Nd1 Nd 0.076 0.250 0.189
Nd2 Nd 0.140 0.250 0.558
Tl1 Tl 0.196 0.250 0.868
H1 H 0.098 0.750 0.618
```

## Properties
Energy above the most stable polymorph in this dataset, meV/atom: 25

2.
## Ce7Tl4Pb (PBE)

Data for a relaxed Ce7Tl4Pb crystal.

CIF file:
```
data_Ce7Tl4Pb
_chemical_formula_sum 'Ce14 Tl8 Pb2'
_symmetry_space_group_name_H-M 'C 1 2/m 1'
_symmetry_Int_Tables_number 12
_cell_length_a 14.666
_cell_length_b 6.114
_cell_length_c 9.445
_cell_angle_alpha 90.00
_cell_angle_beta 118.97
_cell_angle_gamma 90.00
loop_
_symmetry_equiv_pos_as_xyz
'x,y,z'
'-x,-y,-z'
'-x,y,-z'
'x,-y,z'
'x+1/2,y+1/2,z'
'-x+1/2,-y+1/2,-z'
'-x+1/2,y+1/2,-z'
'x+1/2,-y+1/2,z'
loop_
_atom_site_label
_atom_site_type_symbol
_atom_site_fract_x
_atom_site_fract_y
_atom_site_fract_z
Ce1 Ce 0.000 0.000 0.000
Ce2 Ce 0.060 0.500 0.387
Ce3 Ce 0.159 0.500 0.846
Ce4 Ce 0.244 0.500 0.282
Tl1 Tl 0.034 0.000 0.687
Tl2 Tl 0.194 0.000 0.342
Pb1 Pb 0.000 0.500 0.000
```

## Properties
Formation enthalpy at 0 K, eV/f.u.: -0.90

3.
## CuSeCl2 (PBE)

Data for a relaxed CuSeCl2 crystal.

CIF file:
```
data_CuSeCl2
_chemical_formula_sum 'Cu4 Se4 Cl8'
_symmetry_space_group_name_H-M 'F m m m'
_symmetry_Int_Tables_number 69
_symmetry_space_group_name_Hall '-F 2 2'
_cell_length_a 6.471
_cell_length_b 7.238
_cell_length_c 7.260
_cell_angle_alpha 90.00
_cell_angle_beta 90.00
_cell_angle_gamma 90.00
loop_
_atom_site_label
_atom_site_type_symbol
_atom_site_fract_x
_atom_site_fract_y
_atom_site_fract_z
Cu1 Cu 0.000 0.000 0.000
Se1 Se 0.000 0.000 0.500
Cl1 Cl 0.000 0.250 0.250
```

## Properties
Energy above the most stable polymorph in this dataset, meV/atom: 399

4.
## TcHg2As (PBE)

Data for a relaxed TcHg2As crystal.

CIF file:
```
data_TcHg2As
_chemical_formula_sum 'Tc2 Hg4 As2'
_symmetry_space_group_name_H-M 'C m m m'
_symmetry_Int_Tables_number 65
_symmetry_space_group_name_Hall '-C 2 2'
_cell_length_a 2.947
_cell_length_b 5.230
_cell_length_c 10.320
_cell_angle_alpha 90.00
_cell_angle_beta 90.00
_cell_angle_gamma 90.00
loop_
_atom_site_label
_atom_site_type_symbol
_atom_site_fract_x
_atom_site_fract_y
_atom_site_fract_z
Tc1 Tc 0.000 0.000 0.000
Hg1 Hg 0.000 0.500 0.235
As1 As 0.000 0.000 0.500
```

## Properties
Formation enthalpy at 0 K, eV/f.u.: 2.50

Computed total energy, in the same sequence as the records: -4.2208, -4.6343, -2.7159, -3.2806 eV per atom.